# 1
## KGa3Ir (PBE)

Data for a relaxed KGa3Ir crystal.

Output
The value obtained for the energy relative to the lowest polymorph listed for this composition is 0.0000 eV per atom. As for the space-group type: No. 1. Its density of states at the Fermi level is 0.4 states/eV/f.u. As for the formation energy: -0.278 eV per atom.

The structure in POSCAR format:
```
KGa3Ir
1.0
-5.553 -3.876 -0.681
-2.900 -3.206 5.243
-6.026 2.517 2.402
K Ga Ir
2 6 2
Direct
0.429 0.554 0.412
0.696 0.826 0.827
0.984 0.110 0.345
0.611 0.349 0.884
0.221 0.736 0.884
0.130 0.259 0.894
0.946 0.578 0.371
0.452 0.071 0.371
0.045 0.171 0.628
0.869 0.995 0.146
```



# 2
## Si2TcOs (PBE)

Data for a relaxed Si2TcOs crystal.

Output
The value obtained for the energy relative to the lowest polymorph listed for this composition is 0.6611 eV per atom. Its energy relative to the elements, uncorrected is 0.99 eV/f.u. As for the space-group type: No. 216. Its density of states at the Fermi level is 1.8 states/eV/f.u.

The structure in POSCAR format:
```
Si2TcOs
1.0
4.303 0.000 0.000
2.152 3.727 0.000
2.152 1.242 3.514
Os Si Tc
1 2 1
Direct
0.500 0.500 0.500
0.000 0.000 0.000
0.250 0.250 0.250
0.750 0.750 0.750
```



# 3
## Mg2In3Cu3 (PBE)

Data for a relaxed Mg2In3Cu3 crystal.

Output
As for the space-group type: No. 193. Its density of states at the Fermi level is 2.9 states/eV/f.u. As for the formation energy: -0.017 eV per atom.

The structure in POSCAR format:
```
Mg2In3Cu3
1.0
5.870 0.000 0.000
0.000 6.724 3.882
0.000 0.000 7.765
Mg In Cu
4 6 6
Direct
0.000 0.333 0.333
0.500 0.667 0.667
0.000 0.667 0.667
0.500 0.333 0.333
0.750 0.000 0.266
0.750 0.266 0.734
0.750 0.734 0.000
0.250 0.000 0.734
0.250 0.734 0.266
0.250 0.266 0.000
0.750 0.000 0.616
0.750 0.616 0.384
0.750 0.384 0.000
0.250 0.000 0.384
0.250 0.384 0.616
0.250 0.616 0.000
```